VASP calculation (PBE with a Hubbard U) on a relaxed structure of ZrTiVF2.

a = 3.9129 Å, b = 6.0601 Å, c = 3.9129 Å
α = 90.00°, β = 90.00°, γ = 90.00°
With the nearest neighbours (Å) after each atom.
Positions (direct):
F 0.0000 0.0000 0.5000  2 Ti 1.96
F 0.5000 0.0000 0.0000  2 Ti 1.96
Ti 0.0000 0.0000 0.0000  4 F 1.96
Zr 0.5000 0.5000 0.5000  4 V 2.77
V 0.0000 0.5000 0.0000  4 Zr 2.77, 2 Ti 3.03

Properties
- magnetic moment (μB/cell) = 2.3
- SG = P4/mmm
- energy (eV/atom) = -6.2848